## NaCu2Te2 (PBE-GGA)

Data for NaCu2Te2 after structural relaxation.

```
NaCu2Te2
1.0
-2.142 2.142 6.380
2.142 -2.142 6.380
2.142 2.142 -6.380
Na Cu Te
1 2 2
direct
0.000 0.000 0.000
0.250 0.750 0.500
0.750 0.250 0.500
0.368 0.368 0.000
0.632 0.632 0.000
```

V: 117 Å³/f.u.
Electronic total energy: -16.447 eV/cell

## NaUCuTe3 (PBE-GGA)

Data for NaUCuTe3 after structural relaxation.

```
NaUCuTe3
1.0
2.128 -7.292 0.000
2.128 7.292 0.000
0.000 0.000 11.266
Na U Cu Te
2 2 2 6
direct
0.240 0.760 0.750
0.760 0.240 0.250
0.000 0.000 0.000
0.000 0.000 0.500
0.473 0.527 0.250
0.527 0.473 0.750
0.082 0.918 0.250
0.360 0.640 0.069
0.360 0.640 0.431
0.640 0.360 0.569
0.640 0.360 0.931
0.918 0.082 0.750
```

V: 175 Å³/f.u.
Electronic total energy: -59.023 eV/cell

## NaZrCu3Te4 (PBE-GGA)

Data for NaZrCu3Te4 after structural relaxation.

```
NaZrCu3Te4
1.0
6.141 0.000 0.000
0.000 8.209 0.000
-2.700 0.000 9.807
Na Zr Cu Te
2 2 6 8
direct
0.244 0.250 0.413
0.756 0.750 0.587
0.335 0.750 0.214
0.665 0.250 0.786
0.168 0.250 0.811
0.287 0.011 0.001
0.287 0.489 0.001
0.713 0.511 0.999
0.713 0.989 0.999
0.832 0.750 0.189
0.001 0.250 0.035
0.151 0.750 0.428
0.391 0.520 0.768
0.391 0.980 0.768
0.609 0.020 0.232
0.609 0.480 0.232
0.849 0.250 0.572
0.999 0.750 0.965
```

V: 247 Å³/f.u.
Electronic total energy: -74.807 eV/cell

## NaZrCu3Te4 (PBE-GGA)

Data for NaZrCu3Te4 after structural relaxation.

```
NaZrCu3Te4
1.0
6.377 0.000 0.000
0.000 6.377 0.000
0.000 0.000 6.377
Na Zr Cu Te
1 1 3 4
direct
0.000 0.000 0.000
0.500 0.500 0.500
0.000 0.500 0.500
0.500 0.000 0.500
0.500 0.500 0.000
0.257 0.257 0.257
0.257 0.743 0.743
0.743 0.257 0.743
0.743 0.743 0.257
```

V: 259 Å³/f.u.
Electronic total energy: -37.508 eV/cell

## NaThCu (PBE-GGA)

Data for NaThCu after structural relaxation.

```
NaThCu
1.0
0.000 3.440 3.440
3.440 0.000 3.440
3.440 3.440 0.000
Na Th Cu
1 1 1
direct
0.000 0.000 0.000
0.750 0.750 0.750
0.500 0.500 0.500
```

V: 81 Å³/f.u.
Electronic total energy: -9.509 eV/cell

## NaTlCu (PBE-GGA)

Data for NaTlCu after structural relaxation.

```
NaTlCu
1.0
0.000 3.300 3.300
3.300 0.000 3.300
3.300 3.300 0.000
Na Tl Cu
1 1 1
direct
0.000 0.000 0.000
0.500 0.500 0.500
0.250 0.250 0.250
```

V: 72 Å³/f.u.
Electronic total energy: -6.846 eV/cell

## NaTlCu2 (PBE-GGA)

Data for NaTlCu2 after structural relaxation.

```
NaTlCu2
1.0
0.000 3.276 3.276
3.276 0.000 3.276
3.276 3.276 0.000
Na Tl Cu
1 1 2
direct
0.000 0.000 0.000
0.750 0.750 0.750
0.250 0.250 0.250
0.500 0.500 0.500
```

V: 70 Å³/f.u.
Electronic total energy: -10.045 eV/cell

## NaZnCu2 (PBE-GGA)

Data for NaZnCu2 after structural relaxation.

```
NaZnCu2
1.0
0.000 3.116 3.116
3.116 0.000 3.116
3.116 3.116 0.000
Na Zn Cu
1 1 2
direct
0.000 0.000 0.000
0.750 0.750 0.750
0.250 0.250 0.250
0.500 0.500 0.500
```

V: 61 Å³/f.u.
Electronic total energy: -9.120 eV/cell

## Na2ZnCu (PBE-GGA)

Data for Na2ZnCu after structural relaxation.

```
Na2ZnCu
1.0
0.000 3.376 3.376
3.376 0.000 3.376
3.376 3.376 0.000
Na Zn Cu
2 1 1
direct
0.000 0.000 0.000
0.250 0.250 0.250
0.500 0.500 0.500
0.750 0.750 0.750
```

V: 77 Å³/f.u.
Electronic total energy: -6.876 eV/cell

## NaZn6Cu (PBE-GGA)

Data for NaZn6Cu after structural relaxation.

```
NaZn6Cu
1.0
4.335 0.000 0.000
0.000 5.740 0.000
0.000 0.000 4.855
Na Zn Cu
1 6 1
direct
0.000 0.000 0.000
0.000 0.269 0.503
0.000 0.500 0.999
0.000 0.731 0.503
0.500 0.000 0.615
0.500 0.272 0.177
0.500 0.728 0.177
0.500 0.500 0.698
```

V: 121 Å³/f.u.
Electronic total energy: -12.377 eV/cell

## NaZrCu (PBE-GGA)

Data for NaZrCu after structural relaxation.

```
NaZrCu
1.0
0.000 3.191 3.191
3.191 0.000 3.191
3.191 3.191 0.000
Na Zr Cu
1 1 1
direct
0.000 0.000 0.000
0.500 0.500 0.500
0.250 0.250 0.250
```

V: 65 Å³/f.u.
Electronic total energy: -11.609 eV/cell

## Nb2Cu (PBE-GGA)

Data for Nb2Cu after structural relaxation.

```
Nb2Cu
1.0
0.000 3.750 3.750
3.750 0.000 3.750
3.750 3.750 0.000
Nb Cu
4 2
direct
0.000 0.000 0.000
0.000 0.000 0.500
0.000 0.500 0.000
0.500 0.000 0.000
0.375 0.375 0.375
0.625 0.625 0.625
```

E_form: 0.5812 eV per atom
V: 53 Å³/f.u.

## Nb2Cu (PBE-GGA)

Data for Nb2Cu after structural relaxation.

```
Nb2Cu
1.0
0.000 5.470 5.470
5.470 0.000 5.470
5.470 5.470 0.000
Nb Cu
4 2
direct
0.000 0.000 0.000
0.000 0.000 0.500
0.000 0.500 0.000
0.500 0.000 0.000
0.125 0.125 0.125
0.875 0.875 0.875
```

E_form: 3.3965 eV per atom
V: 164 Å³/f.u.

## NbCu2Ni (PBE-GGA)

Data for NbCu2Ni after structural relaxation.

```
NbCu2Ni
1.0
4.319 0.000 0.000
0.000 5.282 0.000
0.000 0.000 4.564
Nb Cu Ni
2 4 2
direct
0.250 0.250 0.137
0.750 0.750 0.863
0.250 0.504 0.647
0.250 0.996 0.647
0.750 0.004 0.353
0.750 0.496 0.353
0.250 0.750 0.161
0.750 0.250 0.839
```

E_form: -0.0315 eV per atom
V: 52 Å³/f.u.

## NbCu2Ni (PBE-GGA)

Data for NbCu2Ni after structural relaxation.

```
NbCu2Ni
1.0
0.000 2.968 2.968
2.968 0.000 2.968
2.968 2.968 0.000
Nb Cu Ni
1 2 1
direct
0.000 0.000 0.000
0.250 0.250 0.250
0.500 0.500 0.500
0.750 0.750 0.750
```

E_form: 0.0189 eV per atom
V: 52 Å³/f.u.

## NbZnCuNi (PBE-GGA)

Data for NbZnCuNi after structural relaxation.

```
NbZnCuNi
1.0
0.000 3.004 3.004
3.004 0.000 3.004
3.004 3.004 0.000
Nb Zn Cu Ni
1 1 1 1
direct
0.000 0.000 0.000
0.750 0.750 0.750
0.250 0.250 0.250
0.500 0.500 0.500
```

E_form: 0.0223 eV per atom
V: 54 Å³/f.u.

## NbZnCuNi (PBE-GGA)

Data for NbZnCuNi after structural relaxation.

```
NbZnCuNi
1.0
0.000 3.006 3.006
3.006 0.000 3.006
3.006 3.006 0.000
Nb Zn Cu Ni
1 1 1 1
direct
0.000 0.000 0.000
0.250 0.250 0.250
0.500 0.500 0.500
0.750 0.750 0.750
```

E_form: -0.0572 eV per atom
V: 54 Å³/f.u.

## NbZnCuNi (PBE-GGA)

Data for NbZnCuNi after structural relaxation.

```
NbZnCuNi
1.0
0.000 3.008 3.008
3.008 0.000 3.008
3.008 3.008 0.000
Nb Zn Cu Ni
1 1 1 1
direct
0.000 0.000 0.000
0.500 0.500 0.500
0.750 0.750 0.750
0.250 0.250 0.250
```

E_form: -0.1213 eV per atom
V: 54 Å³/f.u.

## NpNbCu (PBE-GGA)

Data for NpNbCu after structural relaxation.

```
NpNbCu
1.0
0.000 3.092 3.092
3.092 0.000 3.092
3.092 3.092 0.000
Np Nb Cu
1 1 1
direct
0.000 0.000 0.000
0.250 0.250 0.250
0.750 0.750 0.750
```

E_form: 1.2317 eV per atom
V: 59 Å³/f.u.

## NpNbCu (PBE-GGA)

Data for NpNbCu after structural relaxation.

```
NpNbCu
1.0
0.000 3.099 3.099
3.099 0.000 3.099
3.099 3.099 0.000
Np Nb Cu
1 1 1
direct
0.000 0.000 0.000
0.500 0.500 0.500
0.750 0.750 0.750
```

E_form: 0.8724 eV per atom
V: 60 Å³/f.u.